[1]
Material: Ti2PN
Method: DFT, PBE
State: optimized geometry

Total energy ... -31.20 eV per cell
SG ... Fm-3m (225)

Cell lengths 4.113, 4.113, 4.113 Å; angles 60.00, 60.00, 60.00 degrees
Fractional coordinates of all 4 atoms:
P: 0.500 0.500 0.500
N: 0.000 0.000 0.000
Ti: 0.250 0.250 0.250
Ti: 0.750 0.750 0.750

[2]
Material: Ti4P2N
Method: DFT, PBE
State: optimized geometry

Total energy ... -59.37 eV per cell
SG ... C2/m (12)

Cell lengths 3.215, 6.778, 6.257 Å; angles 133.00, 104.89, 90.00 degrees
Fractional coordinates of all 7 atoms:
Ti: 0.921 0.200 0.842
Ti: 0.079 0.800 0.158
Ti: 0.648 0.248 0.295
Ti: 0.352 0.752 0.705
P: 0.645 0.610 0.289
P: 0.355 0.390 0.711
N: 0.000 0.000 0.000

[3]
Material: Ti2PN
Method: DFT, PBE
State: optimized geometry

Total energy ... -34.74 eV per cell
SG ... R-3m (166)

Cell lengths 3.183, 3.182, 5.951 Å; angles 105.55, 90.00, 120.00 degrees
Fractional coordinates of all 4 atoms:
Ti: 0.268 0.037 0.306
Ti: 0.732 0.963 0.694
P: 0.500 0.500 0.000
N: 0.000 0.500 0.500

[4]
Material: Ti2P2N
Method: DFT, PBE
State: optimized geometry

Total energy ... -36.44 eV per cell
SG ... I4/mmm (139)

Cell lengths 3.153, 3.153, 6.761 Å; angles 76.52, 76.52, 90.00 degrees
Fractional coordinates of all 5 atoms:
P: 0.750 0.250 0.500
P: 0.250 0.750 0.500
N: 0.000 0.000 0.000
Ti: 0.403 0.403 0.195
Ti: 0.597 0.597 0.805

[5]
Material: Ti3PN
Method: DFT, PBE
State: optimized geometry

Total energy ... -42.01 eV per cell
SG ... Pm-3m (221)

Cell lengths 4.064, 4.064, 4.064 Å; angles 90.00, 90.00, 90.00 degrees
Each line ends with the local moment (μB).
Fractional coordinates of all 5 atoms:
P: 0.500 0.500 0.500  -0.01
N: 0.000 0.000 0.000  0.01
Ti: 0.000 0.500 0.000  0.50
Ti: 0.000 0.000 0.500  0.60
Ti: 0.500 0.000 0.000  0.48

[6]
Material: TiPN
Method: DFT, PBE
State: optimized geometry

Total energy ... -48.63 eV per cell
SG ... Cmcm (63)

Cell lengths 3.977, 3.255, 6.799 Å; angles 76.15, 90.00, 90.00 degrees
Fractional coordinates of all 6 atoms:
N: 0.750 0.709 0.581
N: 0.250 0.291 0.419
P: 0.250 0.042 0.916
P: 0.750 0.958 0.084
Ti: 0.250 0.700 0.599
Ti: 0.750 0.300 0.401

[7]
Material: Ti2P2N
Method: DFT, PBE
State: optimized geometry

Total energy ... -76.52 eV per cell
SG ... P4/mbm (127)

Cell lengths 5.772, 5.772, 4.028 Å; angles 90.00, 90.00, 90.00 degrees
Fractional coordinates of all 10 atoms:
P: 0.130 0.630 0.500
P: 0.630 0.870 0.500
P: 0.870 0.370 0.500
P: 0.370 0.130 0.500
N: 0.000 0.000 0.000
N: 0.500 0.500 0.000
Ti: 0.312 0.812 0.000
Ti: 0.812 0.688 0.000
Ti: 0.688 0.188 0.000
Ti: 0.188 0.312 0.000

[8]
Material: Ti2PN
Method: DFT, PBE
State: optimized geometry

Total energy ... -66.94 eV per cell
SG ... I-42d (122)

Cell lengths 5.105, 5.105, 6.070 Å; angles 65.13, 65.13, 90.00 degrees
Fractional coordinates of all 8 atoms:
P: 0.000 0.000 0.000
P: 0.750 0.250 0.500
N: 0.500 0.500 0.000
N: 0.250 0.750 0.500
Ti: 0.555 0.125 0.250
Ti: 0.195 0.625 0.250
Ti: 0.375 0.445 0.750
Ti: 0.875 0.805 0.750

[9]
Material: Ti2PN
Method: DFT, PBE
State: optimized geometry

Total energy ... -33.60 eV per cell
SG ... R3m (160)

Cell lengths 3.132, 3.132, 6.225 Å; angles 75.43, 75.43, 60.00 degrees
Fractional coordinates of all 4 atoms:
Ti: 0.095 0.095 0.715
Ti: 0.240 0.240 0.281
P: 0.668 0.668 0.997
N: 0.498 0.498 0.506

[10]
Material: TiP2N
Method: DFT, PBE
State: optimized geometry

Total energy ... -53.08 eV per cell
SG ... I-42d (122)

Cell lengths 5.478, 5.478, 5.275 Å; angles 58.72, 58.72, 90.00 degrees
Fractional coordinates of all 8 atoms:
P: 0.540 0.125 0.250
P: 0.210 0.625 0.250
P: 0.375 0.460 0.750
P: 0.875 0.790 0.750
N: 0.500 0.500 0.000
N: 0.250 0.750 0.500
Ti: 0.000 0.000 0.000
Ti: 0.750 0.250 0.500

[11]
Material: Ti6P2N
Method: DFT, PBE
State: optimized geometry

Total energy ... -148.15 eV per cell
SG ... P4_2/mnm (136)

Cell lengths 5.338, 5.338, 10.176 Å; angles 90.00, 90.00, 90.00 degrees
Fractional coordinates of all 18 atoms:
Ti: 0.309 0.309 0.355
Ti: 0.691 0.691 0.355
Ti: 0.191 0.809 0.855
Ti: 0.809 0.191 0.855
Ti: 0.191 0.809 0.145
Ti: 0.809 0.191 0.145
Ti: 0.309 0.309 0.645
Ti: 0.691 0.691 0.645
Ti: 0.280 0.280 0.000
Ti: 0.720 0.720 0.000
Ti: 0.220 0.780 0.500
Ti: 0.780 0.220 0.500
P: 0.000 0.000 0.331
P: 0.500 0.500 0.831
P: 0.500 0.500 0.169
P: 0.000 0.000 0.669
N: 0.000 0.000 0.000
N: 0.500 0.500 0.500

[12]
Material: Ti3PN
Method: DFT, PBE
State: optimized geometry

Total energy ... -88.99 eV per cell
SG ... Cmcm (63)

Cell lengths 3.208, 5.311, 7.824 Å; angles 90.00, 90.00, 107.58 degrees
Fractional coordinates of all 10 atoms:
Ti: 0.060 0.120 0.750
Ti: 0.940 0.880 0.250
Ti: 0.366 0.733 0.554
Ti: 0.634 0.267 0.446
Ti: 0.634 0.267 0.054
Ti: 0.366 0.733 0.946
P: 0.255 0.510 0.250
P: 0.745 0.490 0.750
N: 0.000 0.000 0.500
N: 0.000 0.000 0.000

[13]
Material: Ti6P2N
Method: DFT, PBE
State: optimized geometry

Total energy ... -76.81 eV per cell
SG ... C2/m (12)

Cell lengths 3.265, 5.205, 7.776 Å; angles 90.49, 90.00, 108.28 degrees
Fractional coordinates of all 9 atoms:
Ti: 0.866 0.732 0.453
Ti: 0.134 0.268 0.547
Ti: 0.861 0.721 0.052
Ti: 0.139 0.279 0.948
Ti: 0.556 0.112 0.244
Ti: 0.444 0.888 0.756
P: 0.252 0.504 0.248
P: 0.748 0.496 0.752
N: 0.500 0.000 0.500

[14]
Material: Ti2VPN
Method: DFT, PBE
State: optimized geometry

Total energy ... -42.82 eV per cell
SG ... P4/mmm (123)

Cell lengths 4.132, 3.764, 4.132 Å; angles 90.00, 90.00, 90.00 degrees
Fractional coordinates of all 5 atoms:
P: 0.500 0.500 0.500
N: 0.000 0.000 0.000
Ti: 0.000 0.000 0.500
Ti: 0.500 0.000 0.000
V: 0.000 0.500 0.000

[15]
Material: TiVP2N
Method: DFT, PBE
State: optimized geometry

Total energy ... -30.38 eV per cell
SG ... P4/mmm (123)

Cell lengths 4.310, 4.798, 4.310 Å; angles 90.00, 90.00, 90.00 degrees
Each line ends with the local moment (μB).
Fractional coordinates of all 5 atoms:
P: 0.000 0.000 0.500  -0.01
P: 0.500 0.000 0.000  0.00
N: 0.500 0.500 0.500  1.03
Ti: 0.000 0.500 0.000  -0.46
V: 0.000 0.000 0.000  0.14

[16]
Material: ZrTiP2N
Method: DFT, PBE
State: optimized geometry

Total energy ... -30.01 eV per cell
SG ... P4/mmm (123)

Cell lengths 4.411, 5.334, 4.411 Å; angles 90.00, 90.00, 90.00 degrees
Each line ends with the local moment (μB).
Fractional coordinates of all 5 atoms:
P: 0.000 0.000 0.500  0.01
P: 0.500 0.000 0.000  0.02
N: 0.500 0.500 0.500  0.89
Zr: 0.000 0.500 0.000  -0.23
Ti: 0.000 0.000 0.000  0.03

[17]
Material: Tl2PN2
Method: DFT, PBE
State: optimized geometry

Total energy ... -49.20 eV per cell
SG ... P4/mbm (127)

Cell lengths 8.799, 8.799, 3.014 Å; angles 90.00, 90.00, 90.00 degrees
Fractional coordinates of all 10 atoms:
P: 0.000 0.000 0.000
P: 0.500 0.500 0.000
Tl: 0.257 0.757 0.000
Tl: 0.757 0.743 0.000
Tl: 0.743 0.243 0.000
Tl: 0.243 0.257 0.000
N: 0.046 0.546 0.500
N: 0.546 0.954 0.500
N: 0.954 0.454 0.500
N: 0.454 0.046 0.500

[18]
Material: TlPN
Method: DFT, PBE
State: optimized geometry

Total energy ... -63.87 eV per cell
SG ... P2_12_12_1 (19)

Cell lengths 4.789, 9.227, 6.174 Å; angles 90.00, 90.00, 90.00 degrees
Fractional coordinates of all 12 atoms:
P: 0.420 0.837 0.449
P: 0.580 0.337 0.051
P: 0.920 0.663 0.551
P: 0.080 0.163 0.949
N: 0.579 0.683 0.520
N: 0.421 0.183 0.980
N: 0.079 0.817 0.480
N: 0.921 0.317 0.020
Tl: 0.363 0.412 0.560
Tl: 0.637 0.912 0.940
Tl: 0.863 0.088 0.440
Tl: 0.137 0.588 0.060

[19]
Material: TlP4N7
Method: DFT, PBE
State: optimized geometry

Total energy ... -172.22 eV per cell
SG ... Pmn2_1 (31)

Cell lengths 4.717, 5.027, 12.332 Å; angles 90.00, 90.00, 90.00 degrees
Fractional coordinates of all 24 atoms:
Tl: 0.595 0.794 0.500
Tl: 0.095 0.206 0.000
P: 0.596 0.674 0.881
P: 0.069 0.822 0.248
P: 0.569 0.178 0.252
P: 0.096 0.326 0.619
P: 0.096 0.326 0.381
P: 0.596 0.674 0.119
P: 0.069 0.822 0.752
P: 0.569 0.178 0.748
N: 0.923 0.756 0.135
N: 0.423 0.244 0.365
N: 0.528 0.371 0.848
N: 0.028 0.629 0.652
N: 0.028 0.629 0.348
N: 0.528 0.371 0.152
N: 0.421 0.880 0.787
N: 0.921 0.120 0.713
N: 0.921 0.120 0.287
N: 0.421 0.880 0.213
N: 0.486 0.741 0.000
N: 0.986 0.259 0.500
N: 0.923 0.756 0.865
N: 0.423 0.244 0.635

[20]
Material: Tl2PN2
Method: DFT, PBE
State: optimized geometry

Total energy ... -18.51 eV per cell
SG ... I4/mmm (139)

Cell lengths 4.137, 4.137, 5.984 Å; angles 69.77, 69.77, 90.00 degrees
Each line ends with the local moment (μB).
Fractional coordinates of all 5 atoms:
P: 0.000 0.000 0.000  0.47
Tl: 0.350 0.350 0.300  -0.01
Tl: 0.650 0.650 0.700  -0.01
N: 0.750 0.250 0.500  0.02
N: 0.250 0.750 0.500  0.02

[21]
Material: Tl3PN
Method: DFT, PBE
State: optimized geometry

Total energy ... -16.88 eV per cell
SG ... Pm-3m (221)

Cell lengths 4.905, 4.905, 4.905 Å; angles 90.00, 90.00, 90.00 degrees
Fractional coordinates of all 5 atoms:
P: 0.500 0.500 0.500
Tl: 0.000 0.500 0.000
Tl: 0.000 0.000 0.500
Tl: 0.500 0.000 0.000
N: 0.000 0.000 0.000

[22]
Material: Tl2PN
Method: DFT, PBE
State: optimized geometry

Total energy ... -13.60 eV per cell
SG ... Fm-3m (225)

Cell lengths 4.883, 4.883, 4.883 Å; angles 60.00, 60.00, 60.00 degrees
Each line ends with the local moment (μB).
Fractional coordinates of all 4 atoms:
P: 0.500 0.500 0.500  0.16
Tl: 0.250 0.250 0.250  0.00
Tl: 0.750 0.750 0.750  0.00
N: 0.000 0.000 0.000  1.20

[23]
Material: Tl2PN
Method: DFT, PBE
State: optimized geometry

Total energy ... -32.03 eV per cell
SG ... I-42d (122)

Cell lengths 5.726, 5.726, 6.911 Å; angles 65.52, 65.52, 90.00 degrees
Fractional coordinates of all 8 atoms:
P: 0.000 0.000 0.000
P: 0.750 0.250 0.500
Tl: 0.577 0.125 0.250
Tl: 0.173 0.625 0.250
Tl: 0.375 0.423 0.750
Tl: 0.875 0.827 0.750
N: 0.500 0.500 0.000
N: 0.250 0.750 0.500

[24]
Material: UTl2P2N6
Method: DFT, PBE
State: optimized geometry

Total energy ... -79.71 eV per cell
SG ... R-3m (166)

Cell lengths 5.788, 5.788, 7.288 Å; angles 66.61, 66.61, 60.00 degrees
Fractional coordinates of all 11 atoms:
U: 0.000 0.000 0.000
Tl: 0.791 0.791 0.626
Tl: 0.209 0.209 0.374
P: 0.398 0.398 0.807
P: 0.602 0.602 0.193
N: 0.758 0.758 0.200
N: 0.284 0.758 0.200
N: 0.758 0.284 0.200
N: 0.242 0.716 0.800
N: 0.716 0.242 0.800
N: 0.242 0.242 0.800